PrTmB12 PBE relaxed; density = 5.24 g/cm3; symmetry = P4/mmm, No. 123; D(E_F) = 1.33 states/eV per cell; ΔE_f = -414 meV per atom; size of the total moment = 0.00 μB/atom
1.0
-3.3343 1.9626 1.3969
-0.7174 -3.0860 2.6234
4.6003 3.7666 5.6889
B Pr Tm
12 1 1
Direct
0.1992 0.5000 0.2470
0.5000 0.8008 0.7530
0.8008 0.5000 0.2470
0.1992 0.5000 0.7530
0.5000 0.1992 0.7530
0.5000 0.5000 0.0984
0.8008 0.5000 0.7530
0.5000 0.5000 0.6007
0.5000 0.1992 0.2470
0.5000 0.8008 0.2470
0.5000 0.5000 0.3993
0.5000 0.5000 0.9016
0.0000 0.0000 0.5000
0.0000 0.0000 0.0000